Record 1
Dy8YHo6: relaxed, PBE.

Computed properties:
The value obtained for the polymorph energy (0 for the lowest one) is 2.707 eV/f.u.

abc: 3.591 12.665 12.665
angles: 120.00 90.00 90.00
Fractional positions:
1 Dy 0.501 0.899 0.239
2 Dy 0.501 0.761 0.660
3 Dy 0.501 0.340 0.101
4 Dy 0.499 0.101 0.761
5 Dy 0.499 0.239 0.340
6 Dy 0.499 0.660 0.899
7 Dy 0.498 0.333 0.667
8 Dy 0.502 0.667 0.333
9 Y 0.500 0.000 0.000
10 Ho 0.002 0.625 0.115
11 Ho 0.002 0.885 0.510
12 Ho 0.002 0.490 0.375
13 Ho 0.998 0.375 0.885
14 Ho 0.998 0.115 0.490
15 Ho 0.998 0.510 0.625

***

Record 2
Cd4Ag3Pt2: relaxed, PBE.

Computed properties:
As for the total energy: -2.86 eV/atom.

abc: 4.231 4.971 8.920
angles: 77.13 89.76 64.99
Fractional positions:
1 Cd 0.665 0.670 0.887
2 Cd 0.006 0.987 0.332
3 Cd 0.994 0.013 0.668
4 Cd 0.335 0.330 0.113
5 Ag 0.333 0.335 0.444
6 Ag 0.000 0.000 0.000
7 Ag 0.667 0.665 0.556
8 Pt 0.332 0.338 0.782
9 Pt 0.668 0.662 0.218

***

Record 3
Dy12C3N5: relaxed, PBE.

Computed properties:
As for the total energy: -6.82 eV/atom.

abc: 12.585 12.585 12.585
angles: 109.47 109.47 109.47
Fractional positions:
1 C 0.750 0.375 0.125
2 C 0.875 0.750 0.125
3 C 0.375 0.750 0.625
4 C 0.250 0.125 0.375
5 C 0.875 0.125 0.250
6 C 0.375 0.625 0.250
7 C 0.625 0.375 0.750
8 C 0.125 0.875 0.750
9 C 0.750 0.875 0.625
10 C 0.625 0.250 0.375
11 C 0.125 0.250 0.875
12 C 0.250 0.625 0.875
13 N 0.125 0.375 0.250
14 N 0.000 0.500 0.000
15 N 0.000 0.000 0.000
16 N 0.375 0.250 0.125
17 N 0.500 0.000 0.500
18 N 0.500 0.500 0.000
19 N 0.125 0.750 0.375
20 N 0.750 0.125 0.875
21 N 0.750 0.625 0.375
22 N 0.375 0.125 0.750
23 N 0.625 0.875 0.250
24 N 0.500 0.500 0.500
25 N 0.500 0.000 0.000
26 N 0.000 0.000 0.500
27 N 0.250 0.375 0.625
28 N 0.250 0.875 0.125
29 N 0.000 0.500 0.500
30 N 0.875 0.250 0.625
31 N 0.625 0.750 0.875
32 N 0.875 0.625 0.750
33 Dy 0.713 0.128 0.034
34 Dy 0.321 0.534 0.406
35 Dy 0.966 0.372 0.287
36 Dy 0.534 0.213 0.128
37 Dy 0.586 0.713 0.679
38 Dy 0.966 0.594 0.179
39 Dy 0.321 0.787 0.414
40 Dy 0.094 0.914 0.128
41 Dy 0.594 0.966 0.679
42 Dy 0.713 0.586 0.179
43 Dy 0.787 0.466 0.372
44 Dy 0.821 0.906 0.034
45 Dy 0.128 0.713 0.534
46 Dy 0.372 0.406 0.086
47 Dy 0.086 0.906 0.372
48 Dy 0.414 0.128 0.594
49 Dy 0.086 0.179 0.213
50 Dy 0.466 0.679 0.094
51 Dy 0.821 0.914 0.287
52 Dy 0.128 0.414 0.094
53 Dy 0.372 0.966 0.787
54 Dy 0.594 0.628 0.414
55 Dy 0.906 0.821 0.534
56 Dy 0.787 0.321 0.914
57 Dy 0.406 0.372 0.586
58 Dy 0.094 0.179 0.466
59 Dy 0.213 0.679 0.086
60 Dy 0.179 0.086 0.713
61 Dy 0.628 0.034 0.213
62 Dy 0.872 0.586 0.906
63 Dy 0.534 0.321 0.906
64 Dy 0.586 0.872 0.406
65 Dy 0.914 0.821 0.787
66 Dy 0.914 0.094 0.628
67 Dy 0.872 0.287 0.466
68 Dy 0.179 0.094 0.966
69 Dy 0.628 0.594 0.914
70 Dy 0.406 0.034 0.321
71 Dy 0.287 0.414 0.821
72 Dy 0.213 0.534 0.628
73 Dy 0.906 0.086 0.872
74 Dy 0.679 0.213 0.586
75 Dy 0.466 0.787 0.872
76 Dy 0.034 0.406 0.821
77 Dy 0.414 0.287 0.321
78 Dy 0.034 0.628 0.713
79 Dy 0.679 0.466 0.594
80 Dy 0.287 0.872 0.966

***

Record 4
NaP2PtO6: relaxed, PBE.

Computed properties:
As for the total energy: -6.12 eV/atom.

abc: 5.223 5.223 6.547
angles: 66.49 66.49 60.00
Fractional positions:
1 Na 0.000 0.000 0.000
2 P 0.740 0.740 0.779
3 P 0.260 0.260 0.221
4 Pt 0.500 0.500 0.500
5 O 0.064 0.487 0.734
6 O 0.714 0.064 0.734
7 O 0.513 0.286 0.266
8 O 0.936 0.513 0.266
9 O 0.286 0.936 0.266
10 O 0.487 0.714 0.734

***

Computed values of size of the total moment (unit: μB per formula unit) for the preceding records, in sequence: 0.7 0.0 0.0 0.0.